No. 1
Density functional theory data (PBE) for a relaxed structure of SmTm2Pu3Se6.

Output
The formation energy without anion corrections is -1.6470 eV/atom.

Unit cell a=17.9030 b=4.0941 c=8.2209 alpha=90.00 beta=103.00 gamma=90.00
Space group C2/m (No. 12)
Symmetry-distinct sites (fractional):
Sm (0.0000, 0.0000, 0.0000) [2 per cell]
Tm (0.1664, 0.5000, 0.3355) [4 per cell]
Pu (0.0000, 0.0000, 0.5000) [2 per cell]
Pu (0.1645, 0.5000, 0.8350) [4 per cell]
Se (0.0037, 0.5000, 0.2545) [4 per cell]
Se (0.1687, 0.0000, 0.0926) [4 per cell]
Se (0.1696, 0.0000, 0.5791) [4 per cell]



No. 2
Density functional theory data (PBE) for a relaxed structure of SmTm3Pu2Se6.

Output
The formation energy without anion corrections is -1.6744 eV/atom.

Unit cell a=7.0337 b=12.1981 c=7.1393 alpha=90.00 beta=109.21 gamma=90.00
Space group C2/m (No. 12)
Symmetry-distinct sites (fractional):
Sm (0.0000, 0.0000, 0.0000) [2 per cell]
Tm (0.0000, 0.1658, 0.5000) [4 per cell]
Tm (0.0000, 0.5000, 0.5000) [2 per cell]
Pu (0.0000, 0.3332, 0.0000) [4 per cell]
Se (0.2449, 0.3323, 0.7382) [8 per cell]
Se (0.2483, 0.0000, 0.7382) [4 per cell]



No. 3
Density functional theory data (PBE) for a relaxed structure of SmTmPu2Se5.

Output
The formation energy without anion corrections is -1.1957 eV/atom.

Unit cell a=5.0781 b=5.0781 c=10.8708 alpha=90.00 beta=90.00 gamma=90.00
Space group P4/mmm (No. 123)
Symmetry-distinct sites (fractional):
Sm (0.0000, 0.0000, 0.0000) [1 per cell]
Tm (0.0000, 0.0000, 0.5000) [1 per cell]
Pu (0.5000, 0.5000, 0.3091) [2 per cell]
Se (0.0000, 0.0000, 0.2483) [2 per cell]
Se (0.0000, 0.5000, 0.5000) [2 per cell]
Se (0.5000, 0.5000, 0.0000) [1 per cell]



No. 4
Density functional theory data (PBE) for a relaxed structure of Sm2TmPuSe4.

Output
The formation energy without anion corrections is -1.7254 eV/atom.

Unit cell a=7.1468 b=4.1005 c=7.1706 alpha=90.00 beta=109.08 gamma=90.00
Space group P2/m (No. 10)
Symmetry-distinct sites (fractional):
Sm (0.0000, 0.0000, 0.0000) [1 per cell]
Sm (0.5000, 0.5000, 0.0000) [1 per cell]
Tm (0.0000, 0.5000, 0.5000) [1 per cell]
Pu (0.5000, 0.0000, 0.5000) [1 per cell]
Se (0.2415, 0.0000, 0.7395) [2 per cell]
Se (0.2475, 0.5000, 0.2569) [2 per cell]



No. 5
Density functional theory data (PBE) for a relaxed structure of Sm2Tm3PuSe6.

Output
The formation energy without anion corrections is -1.7162 eV/atom.

Unit cell a=17.9026 b=4.0496 c=8.2578 alpha=90.00 beta=104.32 gamma=90.00
Space group C2/m (No. 12)
Symmetry-distinct sites (fractional):
Sm (0.1655, 0.0000, 0.3317) [4 per cell]
Tm (0.0000, 0.5000, 0.5000) [2 per cell]
Tm (0.1667, 0.0000, 0.8359) [4 per cell]
Pu (0.0000, 0.5000, 0.0000) [2 per cell]
Se (0.0035, 0.0000, 0.7441) [4 per cell]
Se (0.1639, 0.5000, 0.5922) [4 per cell]
Se (0.1693, 0.5000, 0.0761) [4 per cell]



No. 6
Density functional theory data (PBE) for a relaxed structure of Sm3YPu2Se6.

Output
The formation energy without anion corrections is -1.7343 eV/atom.

Unit cell a=7.1651 b=12.4168 c=7.2158 alpha=90.00 beta=109.34 gamma=90.00
Space group C2/m (No. 12)
Symmetry-distinct sites (fractional):
Sm (0.0000, 0.0000, 0.0000) [2 per cell]
Sm (0.0000, 0.3323, 0.0000) [4 per cell]
Y (0.0000, 0.5000, 0.5000) [2 per cell]
Pu (0.0000, 0.1664, 0.5000) [4 per cell]
Se (0.2473, 0.3342, 0.7448) [8 per cell]
Se (0.2492, 0.5000, 0.2531) [4 per cell]